This record from Alexandria via LeMat-Bulk describes crystalline AcCdAg2Rh at its relaxed geometry. The functional is PBE.

Geometry as extended XYZ:
```
5
Lattice="-1.905 3.570 0.490 -2.972 -1.902 2.308 6.033 0.319 4.179" Properties=species:S:1:pos:R:3 pbc="T T T"
Cd -0.072 -0.498 3.347
Ag 0.499 2.250 2.497
Ag 0.366 0.117 0.567
Rh 0.071 1.638 5.292
Ac 2.976 0.955 4.618
```

Output
- E_form: -0.31 eV/atom
- Total energy: -3.926 eV per atom